No. 1
Crystalline NiAs3 at its relaxed geometry. Source: Alexandria, functional PBE-GGA.

Computed properties:
Formation enthalpy at 0 K in eV/atom: 0.135
Total energy in eV/cell: -19.19
Space group: R-3m
Total magnetization in μB/f.u.: 0.000

Lattice parameters (Å, degrees): 8.5611 8.5611 8.5611 20.62 20.62 20.62
Atoms (fractional coordinates):
As 0.7341 0.7341 0.7341
As 0.5000 0.5000 0.5000
As 0.2659 0.2659 0.2659
Ni 0.0000 0.0000 0.0000

No. 2
Crystalline NiAs3 at its relaxed geometry. Source: Alexandria, functional PBE-GGA.

Computed properties:
Formation enthalpy at 0 K in eV/atom: 0.173
Total energy in eV/cell: -38.08
Space group: Cmcm
Total magnetization in μB/f.u.: 0.000

Lattice parameters (Å, degrees): 5.4031 5.4031 5.0574 90.00 90.00 93.26
Atoms (fractional coordinates):
Ni 0.5204 0.4796 0.2500
Ni 0.4796 0.5204 0.7500
As 0.0121 0.9879 0.7500
As 0.9879 0.0121 0.2500
As 0.9120 0.5279 0.7500
As 0.0880 0.4721 0.2500
As 0.4721 0.0880 0.7500
As 0.5279 0.9120 0.2500

No. 3
Crystalline NiAs3 at its relaxed geometry. Source: Alexandria, functional PBE-GGA.

Computed properties:
Formation enthalpy at 0 K in eV/atom: 0.130
Total energy in eV/cell: -19.21
Space group: Im-3m
Total magnetization in μB/f.u.: 0.000

Lattice parameters (Å, degrees): 4.4791 4.4791 4.4791 109.46 109.46 109.46
Atoms (fractional coordinates):
As 0.0000 0.0000 0.0000
As 0.5000 0.0000 0.5000
As 0.5000 0.5000 0.0000
Ni 0.0000 0.5000 0.5000

No. 4
Crystalline NiAs3 at its relaxed geometry. Source: Alexandria, functional PBE-GGA.

Computed properties:
Formation enthalpy at 0 K in eV/atom: 0.366
Total energy in eV/cell: -18.27
Space group: P4/mmm
Total magnetization in μB/f.u.: 0.000

Lattice parameters (Å, degrees): 4.7683 4.7683 2.9347 90.00 90.00 90.00
Atoms (fractional coordinates):
As 0.0000 0.0000 0.0000
As 0.5000 0.0000 0.5000
As 0.5000 0.5000 0.0000
Ni 0.0000 0.5000 0.5000

No. 5
Crystalline NiAs3 at its relaxed geometry. Source: Alexandria, functional PBE-GGA.

Computed properties:
Formation enthalpy at 0 K in eV/atom: 0.426
Total energy in eV/cell: -18.02
Space group: Pm-3m
Total magnetization in μB/f.u.: 0.000

Lattice parameters (Å, degrees): 4.0802 4.0802 4.0802 90.00 90.00 90.00
Atoms (fractional coordinates):
As 0.0000 0.5000 0.5000
As 0.5000 0.0000 0.5000
As 0.5000 0.5000 0.0000
Ni 0.0000 0.0000 0.0000

No. 6
Crystalline Ni3As at its relaxed geometry. Source: Alexandria, functional PBE-GGA.

Computed properties:
Formation enthalpy at 0 K in eV/atom: 0.028
Total energy in eV/cell: -21.88
Space group: R-3m
Total magnetization in μB/f.u.: 0.000

Lattice parameters (Å, degrees): 4.6448 4.6448 4.6448 116.41 116.41 116.41
Atoms (fractional coordinates):
As 0.0000 0.0000 0.0000
Ni 0.5000 0.0000 0.5000
Ni 0.5000 0.5000 0.0000
Ni 0.0000 0.5000 0.5000

No. 7
Crystalline Ni3As at its relaxed geometry. Source: Alexandria, functional PBE-GGA.

Computed properties:
Formation enthalpy at 0 K in eV/atom: -0.166
Total energy in eV/cell: -181.25
Space group: P4_2/n
Total magnetization in μB/f.u.: 0.000

Lattice parameters (Å, degrees): 4.5058 9.2860 9.2860 90.00 90.00 90.00
Atoms (fractional coordinates):
Ni 0.9876 0.2763 0.8238
Ni 0.9876 0.7237 0.1762
Ni 0.4876 0.6762 0.7763
Ni 0.4876 0.3238 0.2237
Ni 0.5124 0.2237 0.6762
Ni 0.5124 0.7763 0.3238
Ni 0.0124 0.8238 0.7237
Ni 0.0124 0.1762 0.2763
Ni 0.4944 0.3910 0.9312
Ni 0.4944 0.6090 0.0688
Ni 0.9944 0.5688 0.8910
Ni 0.9944 0.4312 0.1090
Ni 0.0056 0.1090 0.5688
Ni 0.0056 0.8910 0.4312
Ni 0.5056 0.9312 0.6090
Ni 0.5056 0.0688 0.3910
Ni 0.7218 0.0298 0.8631
Ni 0.7218 0.9702 0.1369
Ni 0.2218 0.6369 0.5298
Ni 0.2218 0.3631 0.4702
Ni 0.7782 0.4702 0.6369
Ni 0.7782 0.5298 0.3631
Ni 0.2782 0.8631 0.9702
Ni 0.2782 0.1369 0.0298
As 0.7761 0.7862 0.9525
As 0.7761 0.2138 0.0475
As 0.2761 0.5475 0.2862
As 0.2761 0.4525 0.7138
As 0.7239 0.7138 0.5475
As 0.7239 0.2862 0.4525
As 0.2239 0.9525 0.2138
As 0.2239 0.0475 0.7862

No. 8
Crystalline Ni2As3 at its relaxed geometry. Source: Alexandria, functional PBE-GGA.

Computed properties:
Formation enthalpy at 0 K in eV/atom: -0.045
Total energy in eV/cell: -51.47
Space group: Fdd2
Total magnetization in μB/f.u.: 0.000

Lattice parameters (Å, degrees): 9.2752 7.6528 5.9207 85.20 55.30 39.50
Atoms (fractional coordinates):
Ni 0.2274 0.8648 0.4146
Ni 0.4932 0.4146 0.8648
Ni 0.3852 0.0226 0.7568
Ni 0.8354 0.7568 0.0226
As 0.7204 0.5626 0.2231
As 0.4939 0.2231 0.5626
As 0.6874 0.5296 0.7561
As 0.0269 0.7561 0.5296
As 0.0651 0.9349 0.9349
As 0.3151 0.1849 0.1849